Density functional theory data (PBE with a Hubbard U) for a relaxed structure of CdCoP2O8.

Cell: 5.701 5.701 5.701 Å, 105.12 105.12 118.57°
Atoms (fractional coordinates):
Cd 0.000 0.000 0.000
Co 0.750 0.250 0.500
P 0.250 0.750 0.500
P 0.500 0.500 0.000
O 0.074 0.405 0.332
O 0.074 0.742 0.668
O 0.162 0.343 0.819
O 0.258 0.926 0.332
O 0.524 0.343 0.181
O 0.595 0.926 0.668
O 0.657 0.476 0.819
O 0.657 0.838 0.181

## Properties
* total magnetic moment: 5.08 μB per cell
* total DFT energy (no corrections): -6.198 eV/atom